A geometry-optimized YTaSbW2 structure. Source: the Alexandria database, functional GGA-PBE.

It has space group P4/mmm (No. 123), with a = 4.8920 Å, b = 4.8920 Å, c = 5.2690 Å, α = 90.00°, β = 90.00° and γ = 90.00°. The inequivalent atoms are Y at (0.0000, 0.0000, 0.0000), Ta at (0.5000, 0.5000, 0.0000), Sb at (0.0000, 0.0000, 0.5000) and W at (0.0000, 0.5000, 0.5000).

As for the uncorrected formation energy: 2.03 eV per atom. The calculation puts the mass density at 10.0 Mg/m³.